Compound: YMoAu4
Source: Alexandria
Functional: SCAN
Structure: single point on PBEsol structure

Structure (extended XYZ):
```
6
Lattice="5.433 0.000 0.000 2.716 4.705 0.000 2.716 1.568 4.436" Properties=species:S:1:pos:R:3 pbc="T T T"
Mo 8.149 4.705 3.327
Au 4.078 2.354 1.665
Au 5.433 3.137 3.878
Au 6.788 2.354 1.665
Au 5.433 4.702 1.665
Y 0.000 0.000 0.000
```

- energy of formation (eV per atom) = -0.1433
- total moment (μB per cell) = 4.4
- DOS(E_F) (states/eV per cell) = 3.52